# Cs2NaFeF6

A geometry-optimized Cs2NaFeF6 structure (PBE with a Hubbard U, Alexandria via LeMat-Bulk).

POSCAR file:
```
Cs2NaFeF6
1.0
3.1676 1.8288 10.2694
-3.1676 1.8288 10.2694
0.0000 -3.6577 10.2694
Cs Na Fe F
4 2 2 12
Direct
0.1274 0.1274 0.1274
0.2825 0.2825 0.2825
0.7175 0.7175 0.7175
0.8726 0.8726 0.8726
0.4025 0.4025 0.4025
0.5975 0.5975 0.5975
0.0000 0.0000 0.0000
0.5000 0.5000 0.5000
0.1754 0.6045 0.6045
0.1806 0.1806 0.7451
0.1806 0.7452 0.1806
0.2549 0.8194 0.8194
0.3955 0.3955 0.8246
0.3955 0.8246 0.3955
0.6045 0.1754 0.6045
0.6045 0.6045 0.1754
0.7451 0.1806 0.1806
0.8194 0.2549 0.8194
0.8194 0.8194 0.2549
0.8246 0.3955 0.3955
```

**Relative energy among the computed polymorphs**: 11.0 kJ/mol of atoms
**Total moment**: 6.00 Bohr magnetons per cell
**SG**: R-3m
**Total DFT energy (no corrections)**: -4.617 eV/atom